(1)
Pm4YHo7, optimized geometry, DFT GGA-PBE; energy above the most stable polymorph in this dataset = 0.188 eV/atom; E_tot = -4.519 eV per atom
1.0
5.904 0.000 0.000
2.952 11.243 -0.316
2.952 0.166 6.054
Pm Y Ho
4 1 7
direct
0.639 0.223 0.499
0.361 0.777 0.501
0.771 0.670 0.787
0.229 0.330 0.213
0.000 0.000 0.000
0.787 0.923 0.502
0.213 0.077 0.498
0.066 0.685 0.183
0.934 0.315 0.817
0.368 0.496 0.768
0.500 0.000 0.000
0.632 0.504 0.232

---

(2)
PmY4Ho15, optimized geometry, DFT GGA-PBE; E_tot = -4.942 eV per atom
1.0
-4.415 -2.244 0.742
0.699 -2.742 -4.131
11.284 -17.689 13.650
Pm Y Ho
1 4 15
direct
0.000 0.000 0.000
0.000 0.000 0.200
0.000 0.000 0.400
0.000 0.000 0.600
0.000 0.000 0.800
0.500 0.500 0.000
0.500 0.500 0.201
0.500 0.500 0.400
0.500 0.500 0.600
0.500 0.500 0.799
0.500 0.000 0.101
0.500 0.000 0.300
0.500 0.000 0.500
0.500 0.000 0.700
0.500 0.000 0.899
0.000 0.500 0.101
0.000 0.500 0.300
0.000 0.500 0.500
0.000 0.500 0.700
0.000 0.500 0.899

---

(3)
PmY2Ho5, optimized geometry, DFT GGA-PBE; energy above the most stable polymorph in this dataset = 0.165 eV/atom; E_tot = -4.887 eV per atom
1.0
-3.004 5.733 0.163
-9.418 -8.655 2.237
4.144 -5.380 6.086
Pm Y Ho
2 4 10
direct
0.838 0.676 0.750
0.162 0.324 0.250
0.616 0.565 0.329
0.950 0.565 0.171
0.384 0.435 0.671
0.050 0.435 0.829
0.794 0.911 0.839
0.117 0.911 0.661
0.259 0.825 0.348
0.566 0.825 0.152
0.660 0.320 0.250
0.340 0.680 0.750
0.741 0.175 0.652
0.434 0.175 0.848
0.206 0.089 0.161
0.883 0.089 0.339